# 1
ScCrIn at its PBEsol-relaxed geometry, computed with SCAN.

Geometry as extended XYZ:
```
3
Lattice="-2.842 0.877 -0.980 0.901 -1.794 -4.218 -1.959 -2.663 3.301" Properties=species:S:1:pos:R:3 pbc="T T T"
Cr -2.374 0.732 -0.819
Sc -0.999 -1.792 -2.038
In -3.370 -1.644 -0.021
```

## Properties
- Calculated density: 5.94 g/cm3
- Space-group type: No. 156
- Formation enthalpy at 0 K: -0.216 eV per atom

=====

# 2
MgAgC3 at its PBEsol-relaxed geometry, computed with SCAN.

Geometry as extended XYZ:
```
5
Lattice="4.102 0.000 0.000 0.000 4.102 0.000 0.000 0.000 4.102" Properties=species:S:1:pos:R:3 pbc="T T T"
C 0.000 2.051 0.000
Ag 0.000 0.000 0.000
C 0.000 0.000 2.051
Mg 2.051 2.051 2.051
C 2.051 0.000 0.000
```

## Properties
- Calculated density: 4.05 g/cm3
- Space-group type: No. 221
- Formation enthalpy at 0 K: 2.925 eV per atom

=====

# 3
Si2AuF at its PBEsol-relaxed geometry, computed with SCAN.

Geometry as extended XYZ:
```
8
Lattice="-0.443 -0.257 4.134 0.686 -4.104 -0.182 7.116 3.352 -1.128" Properties=species:S:1:pos:R:3 pbc="T T T"
Si 1.685 -0.905 2.927
Si 2.177 -2.871 1.449
F 0.121 -2.181 1.976
Au 0.000 0.000 0.000
Si 5.433 0.126 1.639
Au 3.962 -1.466 0.333
F 3.398 0.457 2.491
Si 5.424 1.631 -0.367
```

## Properties
- Calculated density: 7.06 g/cm3
- Energy relative to the elements, uncorrected: -0.231 eV per atom
- Space-group type: No. 122

=====

Question: Which value of calculated density does entry 2 give?
Answer: 4.05 g/cm3